# KBeSe2N | the Alexandria database | PBE | relaxed
data_KBeSe2N
_chemical_formula_sum 'K1 Be1 Se2 N1'
_cell_length_a 5.8541
_cell_length_b 5.8541
_cell_length_c 4.8914
_cell_angle_alpha 90.00
_cell_angle_beta 90.00
_cell_angle_gamma 90.00
_space_group_name_H-M_alt 'P 1'
_space_group_IT_number 1
_space_group_name_Hall 'P 1'
loop_
_atom_site_label
_atom_site_type_symbol
_atom_site_fract_x
_atom_site_fract_y
_atom_site_fract_z
Se1 Se 0.0000 0.5000 0.0000
N1 N 0.0000 0.0000 0.5000
K1 K 0.0000 0.0000 0.0000
Se2 Se 0.5000 0.0000 0.0000
Be1 Be 0.5000 0.5000 0.5000
# Raw total energy, eV/cell: -10.311
# Energy above the most stable polymorph in this dataset, meV per atom: 1871
# Uncorrected formation energy, meV/atom: 1961
# M_tot, μB per formula unit: 4.35

=====

# KBeSe2N | the Alexandria database | PBE | relaxed
data_KBeSe2N
_chemical_formula_sum 'K1 Be1 Se2 N1'
_cell_length_a 5.6883
_cell_length_b 5.6883
_cell_length_c 3.0524
_cell_angle_alpha 90.00
_cell_angle_beta 90.00
_cell_angle_gamma 90.00
_space_group_name_H-M_alt 'P 1'
_space_group_IT_number 1
_space_group_name_Hall 'P 1'
loop_
_atom_site_label
_atom_site_type_symbol
_atom_site_fract_x
_atom_site_fract_y
_atom_site_fract_z
Se1 Se 0.5000 0.0000 0.0000
Se2 Se 0.0000 0.5000 0.0000
Be1 Be 0.0000 0.0000 0.0000
K1 K 0.5000 0.5000 0.5000
N1 N 0.0000 0.0000 0.5000
# Raw total energy, eV/cell: -19.665
# Energy above the most stable polymorph in this dataset, meV per atom: 0
# Uncorrected formation energy, meV/atom: 91
# M_tot, μB per formula unit: 0.30

=====

> Which of these has the lowest raw total energy?

number 2

=====

> Which value of uncorrected formation energy does entry 2 give?

91 meV/atom

=====

Please write out number 2 again, unchanged.
# KBeSe2N | the Alexandria database | PBE | relaxed
data_KBeSe2N
_chemical_formula_sum 'K1 Be1 Se2 N1'
_cell_length_a 5.6883
_cell_length_b 5.6883
_cell_length_c 3.0524
_cell_angle_alpha 90.00
_cell_angle_beta 90.00
_cell_angle_gamma 90.00
_space_group_name_H-M_alt 'P 1'
_space_group_IT_number 1
_space_group_name_Hall 'P 1'
loop_
_atom_site_label
_atom_site_type_symbol
_atom_site_fract_x
_atom_site_fract_y
_atom_site_fract_z
Se1 Se 0.5000 0.0000 0.0000
Se2 Se 0.0000 0.5000 0.0000
Be1 Be 0.0000 0.0000 0.0000
K1 K 0.5000 0.5000 0.5000
N1 N 0.0000 0.0000 0.5000
# Raw total energy, eV/cell: -19.665
# Energy above the most stable polymorph in this dataset, meV per atom: 0
# Uncorrected formation energy, meV/atom: 91
# M_tot, μB per formula unit: 0.30

=====

What did the second record say?
# KBeSe2N | the Alexandria database | PBE | relaxed
data_KBeSe2N
_chemical_formula_sum 'K1 Be1 Se2 N1'
_cell_length_a 5.6883
_cell_length_b 5.6883
_cell_length_c 3.0524
_cell_angle_alpha 90.00
_cell_angle_beta 90.00
_cell_angle_gamma 90.00
_space_group_name_H-M_alt 'P 1'
_space_group_IT_number 1
_space_group_name_Hall 'P 1'
loop_
_atom_site_label
_atom_site_type_symbol
_atom_site_fract_x
_atom_site_fract_y
_atom_site_fract_z
Se1 Se 0.5000 0.0000 0.0000
Se2 Se 0.0000 0.5000 0.0000
Be1 Be 0.0000 0.0000 0.0000
K1 K 0.5000 0.5000 0.5000
N1 N 0.0000 0.0000 0.5000
# Raw total energy, eV/cell: -19.665
# Energy above the most stable polymorph in this dataset, meV per atom: 0
# Uncorrected formation energy, meV/atom: 91
# M_tot, μB per formula unit: 0.30